No. 1
Density functional theory data (PBE) for an optimized crystal structure of Pu3SbAs2.

The structure belongs to space group C2/c (No. 15); the cell edges are 7.340, 12.717 and 7.314 Å and the angles 90.00°, 109.51° and 90.00°. Symmetry generates all atoms from Pu at (0.229, 0.090, 0.496), Pu at (0.250, 0.250, 0.000), Sb at (0.000, 0.423, 0.750), As at (0.000, 0.084, 0.750) and As at (0.000, 0.256, 0.250).

The calculation puts the excess energy over the best structure of this formula in the dataset at 0.000 eV per atom. As for the final energy: -246.11 eV/cell. The raw formation energy comes out at -82.2 kJ per mole of atoms.

***

No. 2
Density functional theory data (PBE) for an optimized crystal structure of Ca2CoOs.

The structure belongs to space group C2/m (No. 12); the cell edges are 9.164, 2.787 and 6.069 Å and the angles 90.00°, 94.05° and 90.00°. Symmetry generates all atoms from Ca at (0.249, 0.000, 0.250), Co at (0.000, 0.000, 0.500) and Os at (0.000, 0.500, 0.000).

The energy of formation from the pure elements comes out at 75.68 kJ/mol of atoms. The calculation puts the excess energy over the best structure of this formula in the dataset at 0.653 eV per atom. As for the final energy: -38.40 eV/cell.

***

No. 3
Density functional theory data (PBE) for an optimized crystal structure of Sn2SbPbAu4.

The structure belongs to space group Fmm2 (No. 42); the cell edges are 8.770, 11.498 and 7.740 Å and the angles 90.00°, 90.00° and 90.00°. Symmetry generates all atoms from Sn at (0.250, 0.250, 0.000), Sb at (0.000, 0.000, 0.250), Pb at (0.000, 0.000, 0.750), Au at (0.000, 0.246, 0.250) and Au at (0.250, 0.000, 0.000).

As for the final energy: -118.47 eV/cell. The raw formation energy comes out at -8.1 kJ per mole of atoms.

***

No. 4
Density functional theory data (PBE) for an optimized crystal structure of LaZrAl.

The structure belongs to space group P3m1 (No. 156); the cell edges are 5.0570, 5.0570 and 3.4261 Å and the angles 90.00°, 90.00° and 120.00°. Symmetry generates all atoms from La at (0.0000, 0.0000, 0.0000), Zr at (0.6667, 0.3333, 0.4464) and Al at (0.3333, 0.6667, 0.5722).

The energy of formation from the pure elements comes out at -1.54 kJ/mol of atoms. The calculation puts the excess energy over the best structure of this formula in the dataset at 0.119 eV per atom. As for the final energy: -17.27 eV/cell.

***

No. 5
Density functional theory data (PBE) for an optimized crystal structure of PaFe4Sb.

The structure belongs to space group F-43m (No. 216); the cell edges are 7.206, 7.206 and 7.206 Å and the angles 90.00°, 90.00° and 90.00°. Symmetry generates all atoms from Pa at (0.000, 0.000, 0.000), Fe at (0.126, 0.126, 0.374) and Sb at (0.250, 0.250, 0.750).

As for the final energy: -190.72 eV/cell. The raw formation energy comes out at -3.4 kJ per mole of atoms.

***

No. 6
Density functional theory data (PBE) for an optimized crystal structure of ScInNi3.

The structure belongs to space group Pm-3m (No. 221); the cell edges are 4.618, 4.618 and 4.618 Å and the angles 90.00°, 90.00° and 90.00°. Symmetry generates all atoms from Sc at (0.000, 0.000, 0.000), In at (0.500, 0.500, 0.500) and Ni at (0.000, 0.500, 0.500).

The energy of formation from the pure elements comes out at 67.89 kJ/mol of atoms. The calculation puts the excess energy over the best structure of this formula in the dataset at 0.943 eV per atom. As for the final energy: -22.90 eV/cell.

***

No. 7
Density functional theory data (PBE) for an optimized crystal structure of Y5Tm6Sc2.

The structure belongs to space group Pbam (No. 55); the cell edges are 11.190, 19.969 and 3.530 Å and the angles 90.00°, 90.00° and 90.00°. Symmetry generates all atoms from Y at (0.000, 0.000, 0.000), Y at (0.064, 0.422, 0.000), Y at (0.143, 0.720, 0.000), Tm at (0.082, 0.155, 0.000), Tm at (0.165, 0.883, 0.500), Tm at (0.219, 0.556, 0.500) and Sc at (0.118, 0.286, 0.500).

The energy of formation from the pure elements comes out at 4.70 kJ/mol of atoms. As for the final energy: -142.36 eV/cell.

***

No. 8
Density functional theory data (PBE) for an optimized crystal structure of TbNdHo4.

The structure belongs to space group F-43m (No. 216); the cell edges are 9.310, 9.310 and 9.310 Å and the angles 90.00°, 90.00° and 90.00°. Symmetry generates all atoms from Tb at (0.000, 0.000, 0.000), Nd at (0.250, 0.250, 0.750) and Ho at (0.125, 0.125, 0.375).

The energy of formation from the pure elements comes out at 27.10 kJ/mol of atoms. The calculation puts the excess energy over the best structure of this formula in the dataset at 0.288 eV per atom. As for the final energy: -104.10 eV/cell.

***

No. 9
Density functional theory data (PBE) for an optimized crystal structure of CePmRh2.

The structure belongs to space group P4/mmm (No. 123); the cell edges are 3.485, 3.485 and 7.072 Å and the angles 90.00°, 90.00° and 90.00°. Symmetry generates all atoms from Ce at (0.000, 0.000, 0.000), Pm at (0.000, 0.000, 0.500) and Rh at (0.500, 0.500, 0.227).

The energy of formation from the pure elements comes out at -67.16 kJ/mol of atoms. The calculation puts the excess energy over the best structure of this formula in the dataset at 0.046 eV per atom. As for the final energy: -28.17 eV/cell.

***

No. 10
Density functional theory data (PBE) for an optimized crystal structure of TaTi2.

The structure belongs to space group C2/m (No. 12); the cell edges are 4.769, 4.771 and 5.185 Å and the angles 90.00°, 117.22° and 90.00°. Symmetry generates all atoms from Ta at (0.000, 0.000, 0.000) and Ti at (0.161, 0.500, 0.323).

The energy of formation from the pure elements comes out at 9.10 kJ/mol of atoms. As for the final energy: -54.72 eV/cell.

***

No. 11
Density functional theory data (PBE) for an optimized crystal structure of Th8GaSn2.

The structure belongs to space group C2/m (No. 12); the cell edges are 18.154, 4.955 and 7.488 Å and the angles 90.00°, 98.75° and 90.00°. Symmetry generates all atoms from Th at (0.033, 0.000, 0.264), Th at (0.092, 0.500, 0.937), Th at (0.173, 0.500, 0.424), Th at (0.224, 0.000, 0.135), Ga at (0.000, 0.500, 0.500) and Sn at (0.153, 0.000, 0.697).

The energy of formation from the pure elements comes out at -19.14 kJ/mol of atoms. As for the final energy: -145.15 eV/cell.

***

No. 12
Density functional theory data (PBE) for an optimized crystal structure of Ag2BiCl5.

The structure belongs to space group Cc (No. 9); the cell edges are 13.233, 7.287 and 9.939 Å and the angles 90.00°, 111.13° and 90.00°. Symmetry generates all atoms from Ag at (0.000, 0.033, 0.000), Ag at (0.252, 0.034, 0.893), Bi at (0.126, 0.500, 0.196), Cl at (0.046, 0.174, 0.750), Cl at (0.126, 0.327, 0.446), Cl at (0.207, 0.171, 0.142), Cl at (0.327, 0.361, 0.838) and Cl at (0.425, 0.140, 0.554).

The calculation puts the excess energy over the best structure of this formula in the dataset at 0.000 eV per atom. As for the final energy: -97.78 eV/cell. The raw formation energy comes out at -67.9 kJ per mole of atoms.

***

The lowest final energy belongs to which entry? Pu3SbAs2

***

Number 4 is which compound? LaZrAl

***

final energy of number 3 (Sn2SbPbAu4)? -118.47 eV/cell

***

final energy of number 9 (CePmRh2)? -28.17 eV/cell